Compound: Ac6Nd5Th
Source: the Alexandria database
Functional: PBE-GGA
Structure: relaxed

a b c (Å): 5.4504 10.6592 10.1251
angles (deg): 121.76 105.61 90.00
Closest atoms and distances in Å follow each position.
Sites, in units of the cell vectors:
Ac1 0.5000 0.2479 0.0000  6 Nd 3.71-3.84, 2 Th 3.80, 4 Ac 3.83
Ac2 0.5000 0.7521 0.0000  6 Nd 3.71-3.84, 2 Th 3.80, 4 Ac 3.83
Ac3 0.1648 0.9148 0.3296  1 Th 3.79, 7 Nd 3.79-3.91, 4 Ac 3.83-3.90
Ac4 0.8352 0.5853 0.6704  1 Th 3.79, 7 Nd 3.79-3.91, 4 Ac 3.83-3.90
Ac5 0.8352 0.0852 0.6704  1 Th 3.79, 7 Nd 3.79-3.91, 4 Ac 3.83-3.90
Ac6 0.1648 0.4147 0.3296  1 Th 3.79, 7 Nd 3.79-3.91, 4 Ac 3.83-3.90
Th1 0.0000 0.0000 0.0000  4 Nd 3.77, 8 Ac 3.79-3.80
Nd1 0.6677 0.6677 0.3354  8 Ac 3.81-3.84, 4 Nd 3.86-3.92
Nd2 0.6598 0.1598 0.3195  8 Ac 3.71-3.91, 2 Th 3.77, 2 Nd 3.92
Nd3 0.0000 0.5000 0.0000  8 Ac 3.79-3.83, 4 Nd 3.86
Nd4 0.3402 0.8402 0.6805  8 Ac 3.71-3.91, 2 Th 3.77, 2 Nd 3.92
Nd5 0.3323 0.3323 0.6646  8 Ac 3.81-3.84, 4 Nd 3.86-3.92

Properties
As for the formation energy: 0.056 eV per atom. The density is 8.104 Mg/m³. As for the space group: No. 71.


Compound: Ac2NdTh
Source: the Alexandria database
Functional: PBE-GGA
Structure: relaxed

a b c (Å): 6.0400 6.0400 6.0400
angles (deg): 60.00 60.00 60.00
Closest atoms and distances in Å follow each position.
Sites, in units of the cell vectors:
Th1 0.0000 0.0000 0.0000  8 Ac 3.70
Ac1 0.7500 0.7500 0.7500  4 Th 3.70, 4 Nd 3.70
Ac2 0.2500 0.2500 0.2500  4 Th 3.70, 4 Nd 3.70
Nd1 0.5000 0.5000 0.5000  8 Ac 3.70

Properties
As for the formation energy: 0.256 eV per atom. The density is 8.849 Mg/m³. As for the space group: No. 225.


Compound: Ac2NdTh
Source: the Alexandria database
Functional: PBE-GGA
Structure: relaxed

a b c (Å): 5.3611 5.3734 5.3734
angles (deg): 90.00 90.00 90.00
Closest atoms and distances in Å follow each position.
Sites, in units of the cell vectors:
Nd1 0.5000 0.0000 0.0000  8 Ac 3.80, 4 Th 3.80
Ac1 0.0000 0.5000 0.0000  4 Th 3.80, 4 Nd 3.80, 4 Ac 3.80
Ac2 0.0000 0.0000 0.5000  4 Th 3.80, 4 Nd 3.80, 4 Ac 3.80
Th1 0.5000 0.5000 0.5000  8 Ac 3.80, 4 Nd 3.80

Properties
As for the formation energy: 0.121 eV per atom. The density is 8.907 Mg/m³. As for the space group: No. 123.


Compound: AcNd5Th2
Source: the Alexandria database
Functional: PBE-GGA
Structure: relaxed

a b c (Å): 3.6697 11.4396 9.1472
angles (deg): 128.70 101.57 90.00
Closest atoms and distances in Å follow each position.
Sites, in units of the cell vectors:
Nd1 0.6332 0.4049 0.2665  3 Th 3.46-3.62, 7 Nd 3.67-3.74
Nd2 0.6332 0.8616 0.2665  3 Th 3.46-3.62, 7 Nd 3.67-3.74
Nd3 0.3668 0.5951 0.7335  3 Th 3.46-3.62, 7 Nd 3.67-3.74
Nd4 0.0000 0.5000 0.0000  2 Th 3.55, 10 Nd 3.67-3.68
Nd5 0.3668 0.1384 0.7335  3 Th 3.46-3.62, 7 Nd 3.67-3.74
Ac1 0.0000 0.0000 0.0000  2 Ac 3.67, 4 Th 3.82, 8 Nd 4.05
Th1 0.2569 0.7569 0.5139  7 Nd 3.46-3.62, 2 Th 3.67, 2 Ac 3.82
Th2 0.7431 0.2431 0.4861  7 Nd 3.46-3.62, 2 Th 3.67, 2 Ac 3.82

Properties
As for the formation energy: 0.107 eV per atom. The density is 8.098 Mg/m³. As for the space group: No. 71.